# 1
Entry from Alexandria: TlCdPS2 at its PBEsol-relaxed geometry (meta-GGA SCAN).

Lattice parameters (Å, degrees): 5.047 5.047 5.050 90.00 90.00 90.00
Space group P4/mmm (No. 123)
Unique sites:
Tl1 0.000 0.000 0.000
Cd1 0.500 0.500 0.500
P1 0.000 0.000 0.500
S1 0.000 0.500 0.000

## Properties
DFT total energy (eV/atom): -25.57
Formation energy without anion corrections (eV per atom): 0.9203
D(E_F) (states/eV per cell): 3.36

# 2
Entry from Alexandria: MgAlTe2 at its PBEsol-relaxed geometry (meta-GGA SCAN).

Lattice parameters (Å, degrees): 7.340 7.340 7.340 90.00 90.00 90.00
Space group F-43m (No. 216)
Unique sites:
Mg1 0.000 0.000 0.000
Al1 0.250 0.250 0.250
Te1 0.000 0.000 0.500
Te2 0.250 0.250 0.750

## Properties
DFT total energy (eV/atom): -21.59
Formation energy without anion corrections (eV per atom): 0.2187
D(E_F) (states/eV per cell): 9.16

# 3
Entry from Alexandria: ZnFeTc2 at its PBEsol-relaxed geometry (meta-GGA SCAN).

Lattice parameters (Å, degrees): 5.898 5.898 5.898 90.00 90.00 90.00
Space group F-43m (No. 216)
Unique sites:
Zn1 0.000 0.000 0.000
Fe1 0.250 0.250 0.250
Tc1 0.000 0.000 0.500
Tc2 0.250 0.250 0.750

## Properties
ΔH_f (0 K) (meV per atom): 236
DFT total energy (eV/atom): -25.21
D(E_F) (states/eV per cell): 8.04

# 4
Entry from Alexandria: MgInIO2 at its PBEsol-relaxed geometry (meta-GGA SCAN).

Lattice parameters (Å, degrees): 4.135 4.135 5.909 90.00 90.00 90.00
Space group P4/mmm (No. 123)
Unique sites:
Mg1 0.000 0.000 0.000
In1 0.500 0.500 0.500
I1 0.500 0.500 0.000
O1 0.000 0.500 0.500

## Properties
DFT total energy (eV/atom): -18.11
Formation energy without anion corrections (eV per atom): -0.6004
D(E_F) (states/eV per cell): 1.68

# 5
Entry from Alexandria: LiYCo at its PBEsol-relaxed geometry (meta-GGA SCAN).

Lattice parameters (Å, degrees): 3.332 3.332 9.259 90.00 90.00 90.00
Space group I4mm (No. 107)
Unique sites:
Li1 0.000 0.000 0.000
Y1 0.000 0.000 0.290
Co1 0.000 0.000 0.630

## Properties
ΔH_f (0 K) (meV per atom): 120
DFT total energy (eV/atom): -15.73
D(E_F) (states/eV per cell): 3.44

# 6
Entry from Alexandria: BaLi2Zn2 at its PBEsol-relaxed geometry (meta-GGA SCAN).

Lattice parameters (Å, degrees): 4.285 4.285 12.961 90.00 90.00 90.00
Space group I4/mmm (No. 139)
Unique sites:
Ba1 0.000 0.000 0.000
Li1 0.000 0.500 0.250
Zn1 0.000 0.000 0.389

## Properties
ΔH_f (0 K) (meV per atom): -99
DFT total energy (eV/atom): -14.37
D(E_F) (states/eV per cell): 5.82

# 7
Entry from Alexandria: SbAu3Se at its PBEsol-relaxed geometry (meta-GGA SCAN).

Lattice parameters (Å, degrees): 4.911 4.911 4.911 90.00 90.00 90.00
Space group Pm-3m (No. 221)
Unique sites:
Sb1 0.000 0.000 0.000
Au1 0.000 0.500 0.500
Se1 0.500 0.500 0.500

## Properties
DFT total energy (eV/atom): -52.35
Formation energy without anion corrections (eV per atom): 0.6162
D(E_F) (states/eV per cell): 4.14

# 8
Entry from Alexandria: ReHg at its PBEsol-relaxed geometry (meta-GGA SCAN).

Lattice parameters (Å, degrees): 4.3899 4.3899 4.8618 90.00 90.00 120.00
Space group P6_3/mmc (No. 194)
Unique sites:
Re1 0.0000 0.0000 0.0000
Hg1 0.3333 0.6667 0.2500

## Properties
ΔH_f (0 K) (meV per atom): 1445
DFT total energy (eV/atom): -68.19
D(E_F) (states/eV per cell): 5.08